No. 1
PuPdPt3, relaxed, DFT PBE-GGA; space group = No. 59; energy above the most stable polymorph in this dataset = 0.000 eV per atom; formation energy = -379 meV per atom; D(E_F) = 2.847 states/eV per atom
1.0
4.376 0.000 0.000
0.000 6.429 0.000
0.000 0.000 6.566
Pt Pu Pd
6 2 2
Direct
0.000 0.704 0.246 Pt
0.500 0.204 0.754 Pt
0.500 0.500 0.051 Pt
0.500 0.796 0.754 Pt
0.000 0.296 0.246 Pt
0.000 0.000 0.949 Pt
0.500 0.000 0.244 Pu
0.000 0.500 0.756 Pu
0.000 0.000 0.548 Pd
0.500 0.500 0.452 Pd

=====

No. 2
Mn2BC, relaxed, DFT PBE-GGA; space group = No. 225; energy above the most stable polymorph in this dataset = 0.000 eV per atom; formation energy = 475 meV per atom; D(E_F) = 0.633 states/eV per atom
1.0
0.000 2.519 2.519
2.519 0.000 2.519
2.519 2.519 0.000
B C Mn
1 1 2
Direct
0.000 0.000 0.000 B
0.500 0.500 0.500 C
0.250 0.250 0.250 Mn
0.750 0.750 0.750 Mn

=====

No. 3
Ho7Tm, relaxed, DFT PBE-GGA; space group = No. 225; energy above the most stable polymorph in this dataset = 0.000 eV per atom; formation energy = 23 meV per atom; D(E_F) = 1.532 states/eV per atom
1.0
7.017 0.000 0.000
3.508 6.077 0.000
3.508 2.026 5.729
Ho Tm
7 1
Direct
0.000 0.500 0.500 Ho
0.500 0.500 0.500 Ho
0.000 0.000 0.500 Ho
0.500 0.500 0.000 Ho
0.000 0.500 0.000 Ho
0.500 0.000 0.500 Ho
0.500 0.000 0.000 Ho
0.000 0.000 0.000 Tm